A plane-wave DFT calculation with PBE was carried out for Ca2InAgH after structural relaxation.

The energy above the most stable polymorph in this dataset comes out at 8 meV/atom. As for the crystal system: tetragonal. Its theoretical density is 4672 kg/m3.

The space group is P4/mmm (No. 123) and the conventional cell measures 4.912, 4.912 and 4.476 Å, with angles of 90.00, 90.00 and 90.00 degrees. Symmetry generates all atoms from Ca at (0.000, 0.500, 0.000), In at (0.000, 0.000, 0.500), Ag at (0.500, 0.500, 0.500) and H at (0.000, 0.000, 0.000).